Record 1
A relaxed structure of AlBrF2, computed with GGA-PBE.

Computed properties:
E above lowest polymorph: 831.2 meV/atom

a b c (Å): 3.1185 3.1185 30.6325
angles (deg): 90.00 90.00 120.00
Space group R-3m (No. 166, hexagonal axes)
Symmetry-distinct sites (fractional):
Al 0.0000 0.0000 0.0000 (multiplicity 3)
Br 0.0000 0.0000 0.5000 (multiplicity 3)
F 0.0000 0.0000 0.0540 (multiplicity 6)

***

Record 2
A relaxed structure of AlBr2F, computed with GGA-PBE.

Computed properties:
E above lowest polymorph: 1033.5 meV/atom

a b c (Å): 6.506 6.506 6.506
angles (deg): 90.00 90.00 90.00
Space group Fm-3m (No. 225)
Symmetry-distinct sites (fractional):
Al 0.000 0.000 0.000 (multiplicity 4)
Br 0.250 0.250 0.250 (multiplicity 8)
F 0.000 0.000 0.500 (multiplicity 4)

***

Record 3
A relaxed structure of NbAlBr2F, computed with GGA-PBE.

a b c (Å): 4.954 4.954 5.482
angles (deg): 90.00 90.00 90.00
Space group P4/mmm (No. 123)
Symmetry-distinct sites (fractional):
Nb 0.000 0.000 0.000 (multiplicity 1)
Al 0.000 0.000 0.500 (multiplicity 1)
Br 0.000 0.500 0.000 (multiplicity 2)
F 0.500 0.500 0.500 (multiplicity 1)

***

Result set for formation energy (no corrections): -1.453; -0.572; -0.280 eV per atom, one per record in the order listed.
Result set for theoretical density: 2.8; 5.0; 3.7 g cm⁻³, one per record in the order listed.